In3CoPt12 | GGA-PBE | optimized geometry

a = 4.0160 Å, b = 4.0160 Å, c = 16.0004 Å
α = 90.00°, β = 90.00°, γ = 90.00°
Last column: nearest neighbours and their distance in Å.
Space group P4/mmm (No. 123)
Unique sites:
In: 0.0000 0.0000 0.0000  12 Pt 2.84-2.86
In: 0.0000 0.0000 0.2547  12 Pt 2.84-2.88
Co: 0.0000 0.0000 0.5000  12 Pt 2.73-2.84
Pt: 0.0000 0.5000 0.1275  8 Pt 2.84-2.87, 4 In 2.86
Pt: 0.0000 0.5000 0.3842  2 Co 2.73, 8 Pt 2.73-2.87, 2 In 2.88
Pt: 0.5000 0.5000 0.0000  4 In 2.84, 8 Pt 2.86
Pt: 0.5000 0.5000 0.2556  4 In 2.84, 8 Pt 2.87
Pt: 0.5000 0.5000 0.5000  8 Pt 2.73, 4 Co 2.84

Results
Density of states at the Fermi level: 1.008 states/eV/atom
Formation enthalpy at 0 K: -0.292 eV/atom
Total DFT energy (no corrections): -5.7806 eV per atom
V: 258.1 Å³/f.u.

=====

InCoPt6 | GGA-PBE | optimized geometry

a = 3.9685 Å, b = 3.9685 Å, c = 7.9593 Å
α = 90.00°, β = 90.00°, γ = 90.00°
Last column: nearest neighbours and their distance in Å.
Space group P4/mmm (No. 123)
Unique sites:
In: 0.0000 0.0000 0.0000  12 Pt 2.81-2.89
Co: 0.0000 0.0000 0.5000  12 Pt 2.74-2.81
Pt: 0.0000 0.5000 0.2633  2 Co 2.74, 8 Pt 2.74-2.89, 2 In 2.89
Pt: 0.5000 0.5000 0.0000  4 In 2.81, 8 Pt 2.89
Pt: 0.5000 0.5000 0.5000  8 Pt 2.74, 4 Co 2.81

Results
Density of states at the Fermi level: 1.197 states/eV/atom
Formation enthalpy at 0 K: -0.206 eV/atom
Total DFT energy (no corrections): -5.9667 eV per atom
V: 125.4 Å³/f.u.

=====

InCoPt4 | GGA-PBE | optimized geometry

a = 7.4754 Å, b = 7.4754 Å, c = 7.4754 Å
α = 90.00°, β = 90.00°, γ = 90.00°
Last column: nearest neighbours and their distance in Å.
Space group F-43m (No. 216)
Unique sites:
In: 0.0000 0.0000 0.0000  12 Pt 3.10, 4 Co 3.24
Co: 0.2500 0.2500 0.2500  12 Pt 3.10, 4 In 3.24
Pt: 0.1248 0.1248 0.6248  6 Pt 2.64-2.65

Results
Density of states at the Fermi level: 1.624 states/eV/atom
Formation enthalpy at 0 K: 0.124 eV/atom
Total DFT energy (no corrections): -5.5434 eV per atom
V: 104.4 Å³/f.u.

=====

InCo4Pt | GGA-PBE | optimized geometry

a = 6.8363 Å, b = 6.8363 Å, c = 6.8363 Å
α = 90.00°, β = 90.00°, γ = 90.00°
Last column: nearest neighbours and their distance in Å.
Space group F-43m (No. 216)
Unique sites:
In: 0.0000 0.0000 0.0000  12 Co 2.84, 4 Pt 2.96
Co: 0.1245 0.1245 0.3755  6 Co 2.41-2.43
Pt: 0.2500 0.2500 0.7500  12 Co 2.83, 4 In 2.96

Results
Density of states at the Fermi level: 1.564 states/eV/atom
Formation enthalpy at 0 K: 0.058 eV/atom
Total DFT energy (no corrections): -6.1429 eV per atom
V: 79.9 Å³/f.u.

=====

InCoPt | GGA-PBE | optimized geometry

a = 4.3930 Å, b = 4.3930 Å, c = 2.8731 Å
α = 90.00°, β = 90.00°, γ = 120.00°
Last column: nearest neighbours and their distance in Å.
Space group P3m1 (No. 156)
Unique sites:
In: 0.0000 0.0000 0.0000  3 Co 2.67, 3 Pt 2.76, 2 In 2.87
Co: 0.3333 0.6667 0.7082  3 In 2.67, 3 Pt 2.71, 2 Co 2.87
Pt: 0.6667 0.3333 0.3773  3 Co 2.71, 3 In 2.76, 2 Pt 2.87

Results
Density of states at the Fermi level: 1.581 states/eV/atom
Formation enthalpy at 0 K: 0.054 eV/atom
Total DFT energy (no corrections): -5.2409 eV per atom
V: 48.0 Å³/f.u.

=====

InCoRePt2 | GGA-PBE | optimized geometry

a = 4.8590 Å, b = 4.8590 Å, c = 4.5716 Å
α = 90.00°, β = 90.00°, γ = 90.00°
Last column: nearest neighbours and their distance in Å.
Space group P4/mmm (No. 123)
Unique sites:
In: 0.0000 0.0000 0.0000  2 Co 2.29, 4 Pt 2.43
Co: 0.0000 0.0000 0.5000  2 In 2.29
Re: 0.5000 0.5000 0.5000  8 Pt 3.34, 4 Co 3.44
Pt: 0.0000 0.5000 0.0000  2 In 2.43

Results
Density of states at the Fermi level: 0.529 states/eV/atom
Formation enthalpy at 0 K: 1.891 eV/atom
Total DFT energy (no corrections): -4.9834 eV per atom
V: 107.9 Å³/f.u.

=====

InCoPtRh | GGA-PBE | optimized geometry

a = 6.2742 Å, b = 6.2742 Å, c = 6.2742 Å
α = 90.00°, β = 90.00°, γ = 90.00°
Last column: nearest neighbours and their distance in Å.
Space group F-43m (No. 216)
Unique sites:
In: 0.0000 0.0000 0.0000  4 Pt 2.72, 4 Rh 2.72
Co: 0.0000 0.0000 0.5000  4 Rh 2.72, 4 Pt 2.72
Pt: 0.2500 0.2500 0.2500  4 In 2.72, 4 Co 2.72
Rh: 0.2500 0.2500 0.7500  4 In 2.72, 4 Co 2.72

Results
Density of states at the Fermi level: 2.035 states/eV/atom
Formation enthalpy at 0 K: -0.093 eV/atom
Total DFT energy (no corrections): -5.9022 eV per atom
V: 61.7 Å³/f.u.

=====

Sc5In2Co2Pt | GGA-PBE | optimized geometry

a = 10.8219 Å, b = 10.8219 Å, c = 3.2846 Å
α = 90.00°, β = 90.00°, γ = 90.00°
Last column: nearest neighbours and their distance in Å.
Space group P4/mbm (No. 127)
Unique sites:
Sc: 0.0000 0.5000 0.0000  4 Co 2.62
Sc: 0.0719 0.2020 0.0000  2 Co 2.51
In: 0.1729 0.6729 0.5000  1 Co 2.97, 6 Sc 3.11-3.23, 2 In 3.28
Co: 0.1331 0.3669 0.5000  6 Sc 2.51-2.62
Pt: 0.0000 0.0000 0.5000  8 Sc 2.84

Results
Density of states at the Fermi level: 0.600 states/eV/atom
Formation enthalpy at 0 K: -0.554 eV/atom
Total DFT energy (no corrections): -6.2927 eV per atom
V: 192.3 Å³/f.u.

=====

InCoTePt2 | GGA-PBE | optimized geometry

a = 4.9100 Å, b = 4.9100 Å, c = 5.4489 Å
α = 90.00°, β = 90.00°, γ = 90.00°
Last column: nearest neighbours and their distance in Å.
Space group P4/mmm (No. 123)
Unique sites:
In: 0.0000 0.0000 0.0000  4 Pt 2.46, 2 Te 2.72
Co: 0.5000 0.5000 0.5000  4 Te 3.47, 8 Pt 3.67
Te: 0.0000 0.0000 0.5000  2 In 2.72
Pt: 0.0000 0.5000 0.0000  2 In 2.46

Results
Density of states at the Fermi level: 2.288 states/eV/atom
Total DFT energy (no corrections): -3.6212 eV per atom
V: 131.4 Å³/f.u.
Raw formation energy: 1392 meV per atom

=====

UInCoPt | GGA-PBE | optimized geometry

a = 6.6717 Å, b = 6.6717 Å, c = 6.6717 Å
α = 90.00°, β = 90.00°, γ = 90.00°
Last column: nearest neighbours and their distance in Å.
Space group F-43m (No. 216)
Unique sites:
U: 0.0000 0.0000 0.0000  4 Co 2.89, 4 Pt 2.89
In: 0.0000 0.0000 0.5000  4 Pt 2.89, 4 Co 2.89
Co: 0.2500 0.2500 0.2500  4 In 2.89, 4 U 2.89
Pt: 0.2500 0.2500 0.7500  4 In 2.89, 4 U 2.89

Results
Density of states at the Fermi level: 1.566 states/eV/atom
Formation enthalpy at 0 K: -0.251 eV/atom
Total DFT energy (no corrections): -7.0441 eV per atom
V: 74.2 Å³/f.u.

=====

ZrInCoPt | GGA-PBE | optimized geometry

a = 6.5117 Å, b = 6.5117 Å, c = 6.5117 Å
α = 90.00°, β = 90.00°, γ = 90.00°
Last column: nearest neighbours and their distance in Å.
Space group F-43m (No. 216)
Unique sites:
Zr: 0.0000 0.0000 0.0000  4 Co 2.82, 4 Pt 2.82
In: 0.0000 0.0000 0.5000  4 Co 2.82, 4 Pt 2.82
Co: 0.2500 0.2500 0.2500  4 Zr 2.82, 4 In 2.82
Pt: 0.2500 0.2500 0.7500  4 Zr 2.82, 4 In 2.82

Results
Density of states at the Fermi level: 0.578 states/eV/atom
Formation enthalpy at 0 K: -0.514 eV/atom
Total DFT energy (no corrections): -6.6219 eV per atom
V: 69.0 Å³/f.u.

=====

PuInCo | GGA-PBE | optimized geometry

a = 6.4318 Å, b = 6.4318 Å, c = 6.4318 Å
α = 90.00°, β = 90.00°, γ = 90.00°
Last column: nearest neighbours and their distance in Å.
Space group F-43m (No. 216)
Unique sites:
Pu: 0.0000 0.0000 0.0000  4 Co 2.79
In: 0.0000 0.0000 0.5000  4 Co 2.79
Co: 0.2500 0.2500 0.2500  4 Pu 2.79, 4 In 2.79

Results
Density of states at the Fermi level: 3.410 states/eV/atom
Formation enthalpy at 0 K: 0.065 eV/atom
Total DFT energy (no corrections): -7.9937 eV per atom
V: 66.5 Å³/f.u.